Sm2Dy2HoMg2 | PBE | optimized geometry

a b c (Å): 8.6432 8.6432 8.6432
angles (deg): 36.86 36.86 36.86
Last column: nearest neighbours and their distance in Å.
Element x y z (fractional)
Sm 0.1554 0.1554 0.1554  3 Sm 3.20, 1 Mg 3.25, 3 Dy 3.50
Sm 0.8446 0.8446 0.8446  3 Sm 3.20, 1 Mg 3.25, 3 Dy 3.50
Dy 0.4263 0.4263 0.4263  4 Mg 3.28-3.38, 3 Sm 3.50, 1 Dy 3.56
Dy 0.5737 0.5737 0.5737  4 Mg 3.28-3.38, 3 Sm 3.50, 1 Dy 3.56
Ho 0.0000 0.0000 0.0000  6 Mg 3.32
Mg 0.2902 0.2902 0.2902  1 Sm 3.25, 4 Dy 3.28-3.38, 3 Ho 3.32
Mg 0.7098 0.7098 0.7098  1 Sm 3.25, 4 Dy 3.28-3.38, 3 Ho 3.32

Values from the calculation:
DFT formation energy (kJ/mol of atoms): -1
DFT total energy (eV for the cell shown): -26.5